Compound: SrAl2SnTe
Source: Alexandria
Functional: PBE
Structure: optimized geometry

Structure (POSCAR):
```
SrAl2SnTe
1.0
5.2917 0.0000 0.0000
0.0000 5.2917 0.0000
0.0000 0.0000 6.1971
Sr Al Sn Te
1 2 1 1
Cartesian
0.0000 0.0000 0.0000
0.0000 2.6458 3.0985
2.6458 0.0000 3.0985
2.6458 2.6458 3.0985
2.6458 2.6458 0.0000
```

Computed properties:
Density of states at the Fermi level   0.54 states/eV/atom
Formation energy from raw total energies   0.11 eV per atom
Calculated volume   173.53 Å³/cell
Calculated density   3.71 g/cm3
Calculated total energy   -3.154 eV/atom

Compound: Sr2AlZn4Sn3
Source: Alexandria
Functional: PBE
Structure: optimized geometry

Structure (POSCAR):
```
Sr2AlZn4Sn3
1.0
4.5407 0.0000 0.0000
0.0000 4.5407 0.0000
0.0000 0.0000 11.5414
Sr Al Zn Sn
2 1 4 3
Cartesian
0.0000 2.2703 2.8865
2.2703 0.0000 8.6549
0.0000 0.0000 5.7707
0.0000 0.0000 0.0000
0.0000 2.2703 7.3057
2.2703 0.0000 4.2358
2.2703 2.2703 0.0000
0.0000 2.2703 9.9723
2.2703 0.0000 1.5691
2.2703 2.2703 5.7707
```

Computed properties:
Density of states at the Fermi level   0.23 states/eV/atom
Formation enthalpy at 0 K   -0.335 eV per atom
Calculated volume   237.96 Å³/cell
Calculated density   5.72 g/cm3
Calculated total energy   -2.756 eV/atom

Compound: Sr2AlZn3Sn4
Source: Alexandria
Functional: PBE
Structure: optimized geometry

Structure (POSCAR):
```
Sr2AlZn3Sn4
1.0
4.7258 0.0000 0.0000
0.0000 4.7258 0.0000
0.0000 0.0000 11.3790
Sr Al Zn Sn
2 1 3 4
Cartesian
0.0000 2.3629 2.8451
2.3629 0.0000 8.5340
0.0000 0.0000 5.6895
0.0000 2.3629 9.8490
2.3629 0.0000 1.5301
2.3629 2.3629 5.6895
0.0000 0.0000 0.0000
0.0000 2.3629 7.1998
2.3629 0.0000 4.1793
2.3629 2.3629 0.0000
```

Computed properties:
Density of states at the Fermi level   0.14 states/eV/atom
Formation enthalpy at 0 K   -0.330 eV per atom
Calculated volume   254.13 Å³/cell
Calculated density   5.71 g/cm3
Calculated total energy   -3.024 eV/atom

Compound: Ta2AlSn
Source: Alexandria
Functional: PBE
Structure: optimized geometry

Structure (POSCAR):
```
Ta2AlSn
1.0
-1.9987 1.9987 10.1151
1.9987 -1.9987 10.1151
1.9987 1.9987 -10.1151
Ta Al Sn
4 2 2
Cartesian
2.9981 0.9784 -2.5288
0.9784 0.9994 2.5288
-0.9994 1.0203 7.5863
1.0203 0.9994 12.6439
0.0000 0.0000 0.0000
0.0000 1.9987 5.0576
1.9987 0.0000 5.0576
0.0000 0.0000 10.1151
```

Computed properties:
Density of states at the Fermi level   0.99 states/eV/atom
Formation enthalpy at 0 K   0.413 eV per atom
Calculated volume   161.64 Å³/cell
Calculated density   10.43 g/cm3
Calculated total energy   -7.449 eV/atom

Compound: TaAlSn3
Source: Alexandria
Functional: PBE
Structure: optimized geometry

Structure (POSCAR):
```
TaAlSn3
1.0
5.1277 0.0000 0.0000
0.0000 5.1277 0.0000
0.0000 0.0000 5.1277
Ta Al Sn
1 1 3
Cartesian
0.0000 0.0000 0.0000
2.5639 2.5639 2.5639
0.0000 2.5639 2.5639
2.5639 0.0000 2.5639
2.5639 2.5639 0.0000
```

Computed properties:
Density of states at the Fermi level   1.25 states/eV/atom
Formation enthalpy at 0 K   1.233 eV per atom
Excess energy over the best structure of this formula in the dataset   689 meV/atom
Calculated volume   134.83 Å³/cell
Calculated density   6.95 g/cm3
Calculated total energy   -4.288 eV/atom

Compound: Ta12Al5Sn3
Source: Alexandria
Functional: PBE
Structure: optimized geometry

Structure (POSCAR):
```
Ta12Al5Sn3
1.0
-7.8691 7.8691 7.8691
7.8691 -7.8691 7.8691
7.8691 7.8691 -7.8691
Ta Al Sn
48 20 12
Cartesian
2.3088 -0.0471 1.1464
9.4949 5.0810 -3.9817
7.8220 -1.1464 2.3088
11.8508 -1.6258 2.7881
10.1779 0.0471 1.1464
9.4949 -2.7881 3.9817
1.1464 2.3088 -0.0471
10.6573 3.8875 -1.6258
5.0810 3.9817 -1.6258
6.7227 2.3088 0.0471
-0.0471 1.1464 2.3088
3.9817 -1.6258 5.0810
7.8220 6.7227 -2.3088
3.9817 1.6258 2.7881
6.7227 -2.3088 7.8220
5.0810 -3.9817 9.4949
2.7881 3.9817 1.6258
9.0156 5.5603 0.0471
2.3088 7.8220 -1.1464
9.4949 2.7881 3.8875
3.9817 9.4949 -2.7881
7.8220 1.1464 5.5603
1.6258 2.7881 3.9817
2.3088 0.0471 6.7227
5.5603 7.8220 1.1464
6.2434 5.0810 3.8875
0.0471 6.7227 2.3088
3.8875 -1.6258 10.6573
-1.6258 5.0810 3.9817
5.5603 0.0471 9.0156
-1.1464 2.3088 7.8220
5.0810 3.8875 6.2434
2.7881 11.8508 -1.6258
1.1464 10.1779 0.0471
3.8875 6.2434 5.0810
0.0471 1.1464 10.1779
3.8875 9.4949 2.7881
7.9162 6.7227 5.5603
1.1464 5.5603 7.8220
2.7881 3.8875 9.4949
-2.7881 3.9817 9.4949
6.7227 5.5603 7.9162
-1.6258 10.6573 3.8875
-2.3088 7.8220 6.7227
-3.9817 9.4949 5.0810
0.0471 9.0156 5.5603
-1.6258 2.7881 11.8508
5.5603 7.9162 6.7227
0.0000 0.0000 0.0000
3.9346 3.9346 -3.9346
3.9346 -3.9346 3.9346
7.8691 0.0000 0.0000
11.8037 1.9673 0.0000
7.8691 -3.9346 5.9019
5.9019 7.8691 -3.9346
5.9019 0.0000 3.9346
3.9346 5.9019 0.0000
7.8691 3.9346 1.9673
-3.9346 3.9346 3.9346
0.0000 7.8691 0.0000
0.0000 0.0000 7.8691
3.9346 3.9346 3.9346
0.0000 3.9346 5.9019
3.9346 1.9673 7.8691
1.9673 7.8691 3.9346
1.9673 0.0000 11.8037
0.0000 11.8037 1.9673
-3.9346 5.9019 7.8691
3.9346 1.9673 0.0000
7.8691 3.9346 -1.9673
1.9673 0.0000 3.9346
9.8364 0.0000 3.9346
0.0000 3.9346 1.9673
3.9346 -1.9673 7.8691
3.9346 9.8364 0.0000
7.8691 3.9346 5.9019
-1.9673 7.8691 3.9346
5.9019 7.8691 3.9346
0.0000 3.9346 9.8364
3.9346 5.9019 7.8691
```

Computed properties:
Density of states at the Fermi level   0.89 states/eV/atom
Formation enthalpy at 0 K   1.092 eV per atom
Calculated volume   1949.13 Å³/cell
Calculated density   9.07 g/cm3
Calculated total energy   -7.556 eV/atom

Compound: TaAl3Sn
Source: Alexandria
Functional: PBE
Structure: optimized geometry

Structure (POSCAR):
```
TaAl3Sn
1.0
5.0693 0.0000 0.0000
0.0000 5.0693 0.0000
0.0000 0.0000 5.0693
Ta Al Sn
1 3 1
Cartesian
0.0000 0.0000 0.0000
0.0000 0.0000 2.5346
0.0000 2.5346 0.0000
2.5346 0.0000 0.0000
2.5346 2.5346 2.5346
```

Computed properties:
Density of states at the Fermi level   0.59 states/eV/atom
Formation enthalpy at 0 K   0.749 eV per atom
Excess energy over the best structure of this formula in the dataset   0 meV/atom
Calculated volume   130.27 Å³/cell
Calculated density   4.85 g/cm3
Calculated total energy   -4.668 eV/atom

Compound: Ta3AlSn
Source: Alexandria
Functional: PBE
Structure: optimized geometry

Structure (POSCAR):
```
Ta3AlSn
1.0
4.7273 0.0000 0.0000
0.0000 4.7273 0.0000
0.0000 0.0000 4.7273
Ta Al Sn
3 1 1
Cartesian
0.0000 0.0000 2.3636
0.0000 2.3636 0.0000
2.3636 0.0000 0.0000
0.0000 0.0000 0.0000
2.3636 2.3636 2.3636
```

Computed properties:
Density of states at the Fermi level   2.20 states/eV/atom
Formation enthalpy at 0 K   1.166 eV per atom
Excess energy over the best structure of this formula in the dataset   0 meV/atom
Calculated volume   105.64 Å³/cell
Calculated density   10.82 g/cm3
Calculated total energy   -7.495 eV/atom

Compound: TaAl2Sn
Source: Alexandria
Functional: PBE
Structure: optimized geometry

Structure (POSCAR):
```
TaAl2Sn
1.0
-3.8417 3.8417 2.7988
3.8417 -3.8417 2.7988
3.8417 3.8417 -2.7988
Ta Al Sn
2 4 2
Cartesian
0.0000 0.0000 0.0000
0.0000 3.8417 1.3994
5.7625 1.8316 -0.6997
1.8316 1.9208 0.6997
-1.9208 2.0100 2.0991
2.0100 1.9208 3.4985
3.8417 0.0000 1.3994
0.0000 0.0000 2.7988
```

Computed properties:
Density of states at the Fermi level   0.78 states/eV/atom
Formation enthalpy at 0 K   0.499 eV per atom
Calculated volume   165.22 Å³/cell
Calculated density   7.11 g/cm3
Calculated total energy   -5.336 eV/atom

Compound: TaAl3Sn
Source: Alexandria
Functional: PBE
Structure: optimized geometry

Structure (POSCAR):
```
TaAl3Sn
1.0
5.0150 0.0000 0.0000
0.0000 5.0150 0.0000
0.0000 0.0000 5.0150
Ta Al Sn
1 3 1
Cartesian
0.0000 0.0000 0.0000
0.0000 2.5075 2.5075
2.5075 0.0000 2.5075
2.5075 2.5075 0.0000
2.5075 2.5075 2.5075
```

Computed properties:
Density of states at the Fermi level   1.22 states/eV/atom
Formation enthalpy at 0 K   1.585 eV per atom
Excess energy over the best structure of this formula in the dataset   836 meV/atom
Calculated volume   126.13 Å³/cell
Calculated density   5.01 g/cm3
Calculated total energy   -3.832 eV/atom

Compound: TaAlSn3
Source: Alexandria
Functional: PBE
Structure: optimized geometry

Structure (POSCAR):
```
TaAlSn3
1.0
5.3895 0.0000 0.0000
0.0000 5.3895 0.0000
0.0000 0.0000 5.3895
Ta Al Sn
1 1 3
Cartesian
0.0000 0.0000 0.0000
2.6948 2.6948 2.6948
0.0000 0.0000 2.6948
0.0000 2.6948 0.0000
2.6948 0.0000 0.0000
```

Computed properties:
Density of states at the Fermi level   0.56 states/eV/atom
Formation enthalpy at 0 K   0.544 eV per atom
Excess energy over the best structure of this formula in the dataset   0 meV/atom
Calculated volume   156.55 Å³/cell
Calculated density   5.98 g/cm3
Calculated total energy   -4.977 eV/atom

Compound: TaAlSn2
Source: Alexandria
Functional: PBE
Structure: optimized geometry

Structure (POSCAR):
```
TaAlSn2
1.0
-3.1856 3.1856 6.2606
3.1856 -3.1856 6.2606
3.1856 3.1856 -6.2606
Ta Al Sn
2 2 4
Cartesian
0.0000 0.0000 0.0000
0.0000 3.1856 3.1303
3.1856 0.0000 3.1303
0.0000 0.0000 6.2606
1.5928 -1.5901 4.6955
1.5955 1.5928 1.5652
1.5928 4.7758 -1.5652
1.5901 1.5928 7.8258
```

Computed properties:
Density of states at the Fermi level   0.05 states/eV/atom
Formation enthalpy at 0 K   0.904 eV per atom
Calculated volume   254.14 Å³/cell
Calculated density   5.82 g/cm3
Calculated total energy   -4.997 eV/atom